LiPr3Er2S6 | PBE-GGA | optimized geometry

CIF file:
```
data_LiPr3Er2S6
_space_group_name_H-M_alt 'C 1 2/m 1'
_space_group_IT_number 12
_space_group_name_Hall '-C 2y'
_cell_length_a 6.8236
_cell_length_b 11.8534
_cell_length_c 6.9778
_cell_angle_alpha 90.00
_cell_angle_beta 109.13
_cell_angle_gamma 90.00
loop_
_atom_site_label
_atom_site_fract_x
_atom_site_fract_y
_atom_site_fract_z
Li1 0.0000 0.0000 0.0000
Pr1 0.0000 0.1647 0.5000
Pr2 0.0000 0.5000 0.5000
Er1 0.0000 0.3344 0.0000
S1 0.2408 0.1652 0.2280
S2 0.2465 0.5000 0.2245
```

For the density of states at the Fermi level, the calculation gives 9.3 states/eV per cell. The calculation puts the energy at -73.51 eV per formula unit. For the total magnetic moment, the calculation gives 0.0 μB/f.u.